1.
Density functional theory data (PBE-GGA) for a relaxed ReMoPt2 crystal.

Properties
DOS(E_F)   4.452 states/eV/cell
Space-group type   C2/m, No. 12
Uncorrected energy   -8.9074 eV/atom
Crystal system   monoclinic
Calculated volume   61.4 Å³/f.u.
Spin magnetization   0.0 μB per formula unit

a = 4.865 Å, b = 4.865 Å, c = 4.824 Å
α = 80.67°, β = 80.67°, γ = 33.07°
Element x y z (fractional)
Mo1 0.250 0.250 0.250
Pt1 0.002 0.002 0.998
Pt2 0.498 0.498 0.502
Re1 0.750 0.750 0.750

2.
Density functional theory data (PBE-GGA) for a relaxed YMn2H crystal.

Properties
DOS(E_F)   11.893 states/eV/cell
Space-group type   Fd-3m, No. 227
Uncorrected energy   -6.9903 eV/atom
Crystal system   cubic
Calculated volume   54.5 Å³/f.u.
Spin magnetization   3.3 μB per formula unit

a = 5.362 Å, b = 5.362 Å, c = 5.361 Å
α = 60.00°, β = 60.00°, γ = 90.00°
Last column: magnetic moment on the atom in μB.
Element x y z (fractional)
Y1 0.000 0.000 0.000  -0.31
Y2 0.750 0.250 0.500  -0.31
H1 0.500 0.500 0.000  -0.02
H2 0.250 0.750 0.500  -0.02
Mn1 0.375 0.125 0.250  1.84
Mn2 0.375 0.625 0.250  1.87
Mn3 0.375 0.625 0.750  1.88
Mn4 0.875 0.625 0.750  1.91

3.
Density functional theory data (PBE-GGA) for a relaxed YAlGaPt3 crystal.

Properties
DOS(E_F)   3.775 states/eV/cell
Space-group type   Cmcm, No. 63
Uncorrected energy   -6.0330 eV/atom
Crystal system   orthorhombic
Calculated volume   114.2 Å³/f.u.
Spin magnetization   0.0 μB per formula unit

a = 5.567 Å, b = 6.732 Å, c = 6.960 Å
α = 118.92°, β = 90.00°, γ = 90.00°
Element x y z (fractional)
Y1 0.750 0.302 0.603
Y2 0.250 0.698 0.397
Al1 0.250 0.949 0.899
Al2 0.750 0.051 0.101
Ga1 0.250 0.364 0.728
Ga2 0.750 0.636 0.272
Pt1 0.250 0.164 0.327
Pt2 0.000 0.291 0.000
Pt3 0.500 0.709 0.000
Pt4 0.500 0.291 0.000
Pt5 0.000 0.709 0.000
Pt6 0.750 0.836 0.673

4.
Density functional theory data (PBE-GGA) for a relaxed Pr2Sm5Sb5 crystal.

Properties
DOS(E_F)   10.888 states/eV/cell
Space-group type   C2/m, No. 12
E_form (uncorrected)   -0.8935 eV/atom
Crystal system   monoclinic
Calculated volume   400.3 Å³/f.u.
Spin magnetization   1.0 μB per formula unit

a = 4.415 Å, b = 7.530 Å, c = 13.090 Å
α = 105.10°, β = 90.00°, γ = 107.05°
Last column: magnetic moment on the atom in μB.
Element x y z (fractional)
Pr1 0.034 0.068 0.780  0.07
Pr2 0.966 0.932 0.220  0.07
Sm1 0.500 0.000 0.500  0.01
Sm2 0.658 0.316 0.045  0.04
Sm3 0.731 0.461 0.347  0.07
Sm4 0.269 0.539 0.653  0.07
Sm5 0.342 0.684 0.955  0.04
Sb1 0.124 0.248 0.435  -0.01
Sb2 0.698 0.396 0.804  -0.01
Sb3 0.302 0.604 0.196  -0.01
Sb4 0.876 0.752 0.565  -0.01
Sb5 0.000 0.000 0.000  0.00

5.
Density functional theory data (PBE-GGA) for a relaxed NbAlSN2 crystal.

Properties
DOS(E_F)   4.906 states/eV/cell
Space-group type   P4/mmm, No. 123
E_form (uncorrected)   0.2205 eV/atom
Crystal system   tetragonal
Calculated volume   82.3 Å³/f.u.
Spin magnetization   0.0 μB per formula unit

a = 3.980 Å, b = 3.980 Å, c = 5.197 Å
α = 90.00°, β = 90.00°, γ = 90.00°
Element x y z (fractional)
Nb1 0.000 0.000 0.000
N1 0.000 0.500 0.000
N2 0.500 0.000 0.000
S1 0.000 0.000 0.500
Al1 0.500 0.500 0.500

6.
Density functional theory data (PBE-GGA) for a relaxed Sc3Si6Pd20 crystal.

Properties
DOS(E_F)   10.672 states/eV/cell
Space-group type   Fm-3m, No. 225
E_form (uncorrected)   -0.7716 eV/atom
Crystal system   cubic
Calculated volume   452.8 Å³/f.u.
Spin magnetization   0.0 μB per formula unit

a = 8.620 Å, b = 8.620 Å, c = 8.620 Å
α = 60.00°, β = 60.00°, γ = 60.00°
Element x y z (fractional)
Sc1 0.750 0.750 0.750
Sc2 0.250 0.250 0.250
Sc3 0.000 0.000 0.000
Si1 0.269 0.731 0.731
Si2 0.731 0.269 0.269
Si3 0.269 0.269 0.731
Si4 0.731 0.269 0.731
Si5 0.269 0.731 0.269
Si6 0.731 0.731 0.269
Pd1 0.380 0.380 0.859
Pd2 0.141 0.620 0.620
Pd3 0.657 0.000 0.000
Pd4 0.657 0.343 0.000
Pd5 0.000 0.000 0.657
Pd6 0.380 0.859 0.380
Pd7 0.000 0.343 0.657
Pd8 0.657 0.000 0.343
Pd9 0.000 0.657 0.000
Pd10 0.000 0.000 0.343
Pd11 0.343 0.000 0.657
Pd12 0.000 0.343 0.000
Pd13 0.343 0.657 0.000
Pd14 0.343 0.000 0.000
Pd15 0.380 0.380 0.380
Pd16 0.620 0.620 0.141
Pd17 0.620 0.620 0.620
Pd18 0.620 0.141 0.620
Pd19 0.859 0.380 0.380
Pd20 0.000 0.657 0.343

7.
Density functional theory data (PBE-GGA) for a relaxed Ce3SnRu crystal.

Properties
DOS(E_F)   17.251 states/eV/cell
Space-group type   Pm-3m, No. 221
Uncorrected energy   -6.5440 eV/atom
Crystal system   cubic
Calculated volume   148.7 Å³/f.u.
Spin magnetization   2.5 μB per formula unit

a = 5.298 Å, b = 5.298 Å, c = 5.298 Å
α = 90.00°, β = 90.00°, γ = 90.00°
Last column: magnetic moment on the atom in μB.
Element x y z (fractional)
Ru1 0.000 0.000 0.000  -0.07
Sn1 0.500 0.500 0.500  -0.04
Ce1 0.000 0.500 0.000  0.71
Ce2 0.000 0.000 0.500  0.71
Ce3 0.500 0.000 0.000  0.71

8.
Density functional theory data (PBE-GGA) for a relaxed V3Ru3Pt2 crystal.

Properties
DOS(E_F)   7.428 states/eV/cell
Space-group type   Pmmm, No. 47
Uncorrected energy   -8.7578 eV/atom
Crystal system   orthorhombic
Calculated volume   112.7 Å³/f.u.
Spin magnetization   0.0 μB per formula unit

a = 3.752 Å, b = 3.858 Å, c = 7.784 Å
α = 90.00°, β = 90.00°, γ = 90.00°
Element x y z (fractional)
V1 0.500 0.500 0.738
V2 0.500 0.500 0.262
V3 0.500 0.000 0.000
Ru1 0.500 0.000 0.500
Ru2 0.000 0.500 0.000
Ru3 0.000 0.500 0.500
Pt1 0.000 0.000 0.751
Pt2 0.000 0.000 0.249